Here is a relaxed structure of Cs2UTe5 from Alexandria. Energies are from GGA-PBE.

abc: 8.4113 8.4113 8.4113
angles: 130.15 117.48 83.91
Fractional positions:
Cs 0.0000 0.0000 0.0000
Cs 0.4477 0.4477 0.0000
U 0.7442 0.2442 0.5000
Te 0.4776 0.4937 0.5410
Te 0.4776 0.9366 0.9839
Te 0.9527 0.4937 0.0161
Te 0.9527 0.9366 0.4590
Te 0.9682 0.4682 0.5000

Summary:
calculated volume = 48.4 Å³ per atom
formation energy (no corrections) = -0.55 eV/atom

=====

Here is a relaxed structure of Cs4UTe5 from Alexandria. Energies are from GGA-PBE.

abc: 9.4538 9.4538 9.4538
angles: 95.87 95.87 142.70
Fractional positions:
Cs 0.0000 0.2830 0.2830
Cs 0.0000 0.7170 0.7170
Cs 0.2830 0.0000 0.2830
Cs 0.7170 0.0000 0.7170
U 0.5000 0.5000 0.0000
Te 0.0000 0.0000 0.0000
Te 0.3365 0.3365 0.6730
Te 0.3365 0.6635 0.0000
Te 0.6635 0.3365 0.0000
Te 0.6635 0.6635 0.3270

Summary:
ΔE to the lowest computed polymorph = 1.3 kJ/mol of atoms
calculated volume = 48.5 Å³ per atom
formation energy (no corrections) = -0.85 eV/atom

=====

Here is a relaxed structure of CsU6Te12 from Alexandria. Energies are from GGA-PBE.

abc: 9.1685 9.1685 9.1685
angles: 105.63 105.63 105.63
Fractional positions:
Cs 0.0000 0.0000 0.0000
U 0.2639 0.2639 0.6693
U 0.2639 0.6693 0.2639
U 0.3307 0.7361 0.7361
U 0.6693 0.2639 0.2639
U 0.7361 0.3307 0.7361
U 0.7361 0.7361 0.3307
Te 0.1267 0.5000 0.8733
Te 0.1267 0.8733 0.5000
Te 0.1724 0.4306 0.4306
Te 0.4306 0.1724 0.4306
Te 0.4306 0.4306 0.1724
Te 0.5000 0.1267 0.8733
Te 0.5000 0.8733 0.1267
Te 0.5694 0.5694 0.8276
Te 0.5694 0.8276 0.5694
Te 0.8276 0.5694 0.5694
Te 0.8733 0.1267 0.5000
Te 0.8733 0.5000 0.1267

Summary:
calculated volume = 35.0 Å³ per atom
formation energy (no corrections) = -0.57 eV/atom

=====

Here is a relaxed structure of Cs2U3Te6 from Alexandria. Energies are from GGA-PBE.

abc: 7.6921 7.6921 9.6032
angles: 97.69 97.69 120.01
Fractional positions:
Cs 0.1665 0.8335 0.0000
Cs 0.8335 0.1665 0.0000
U 0.0000 0.0000 0.5000
U 0.3328 0.6672 0.5000
U 0.6672 0.3328 0.5000
Te 0.0655 0.3970 0.6908
Te 0.2716 0.2716 0.3099
Te 0.3970 0.0655 0.6908
Te 0.6030 0.9345 0.3092
Te 0.7284 0.7284 0.6901
Te 0.9345 0.6030 0.3092

Summary:
calculated volume = 43.1 Å³ per atom
formation energy (no corrections) = -0.82 eV/atom

=====

Here is a relaxed structure of CsU2Te4 from Alexandria. Energies are from GGA-PBE.

abc: 16.5067 16.5067 16.5067
angles: 15.54 15.54 15.54
Fractional positions:
Cs 0.0000 0.0000 0.0000
U 0.4273 0.4273 0.4273
U 0.5727 0.5727 0.5727
Te 0.1280 0.1280 0.1280
Te 0.2763 0.2763 0.2763
Te 0.7237 0.7237 0.7237
Te 0.8720 0.8720 0.8720

Summary:
ΔE to the lowest computed polymorph = 0.0 kJ/mol of atoms
calculated volume = 40.2 Å³ per atom
formation energy (no corrections) = -0.73 eV/atom

=====

Here is a relaxed structure of Cs4U3Te10 from Alexandria. Energies are from GGA-PBE.

abc: 21.8600 21.8600 21.8600
angles: 164.43 164.43 22.09
Fractional positions:
Cs 0.0686 0.0686 0.0000
Cs 0.2026 0.2026 0.0000
Cs 0.7974 0.7974 0.0000
Cs 0.9314 0.9314 0.0000
U 0.3612 0.3612 0.0000
U 0.5000 0.5000 0.0000
U 0.6388 0.6388 0.0000
Te 0.0000 0.5000 0.5000
Te 0.1363 0.6363 0.5000
Te 0.2948 0.2948 0.0000
Te 0.3637 0.8637 0.5000
Te 0.4313 0.4313 0.0000
Te 0.5000 0.0000 0.5000
Te 0.5687 0.5687 0.0000
Te 0.6363 0.1363 0.5000
Te 0.7052 0.7052 0.0000
Te 0.8637 0.3637 0.5000

Summary:
calculated volume = 44.3 Å³ per atom
formation energy (no corrections) = -0.80 eV/atom

=====

Here is a relaxed structure of Cs4UTe5 from Alexandria. Energies are from GGA-PBE.

abc: 9.0997 9.0997 9.0997
angles: 100.15 100.15 130.35
Fractional positions:
Cs 0.0925 0.3024 0.3948
Cs 0.3024 0.9075 0.2099
Cs 0.6976 0.0925 0.7901
Cs 0.9075 0.6976 0.6052
U 0.5327 0.5327 0.0000
Te 0.2630 0.5775 0.8449
Te 0.4181 0.2630 0.6856
Te 0.5775 0.7326 0.3144
Te 0.7326 0.4181 0.1551
Te 0.9055 0.9055 0.0000

Summary:
ΔE to the lowest computed polymorph = 0.0 kJ/mol of atoms
calculated volume = 52.1 Å³ per atom
formation energy (no corrections) = -0.87 eV/atom

=====

Here is a relaxed structure of Cs2UTe6 from Alexandria. Energies are from GGA-PBE.

abc: 9.5969 9.5969 4.8869
angles: 93.83 93.83 62.65
Fractional positions:
Cs 0.2057 0.2057 0.4731
Cs 0.7943 0.7943 0.5269
U 0.5000 0.5000 0.0000
Te 0.1602 0.5711 0.0510
Te 0.2880 0.7120 0.5000
Te 0.4289 0.8398 0.9490
Te 0.5711 0.1602 0.0510
Te 0.7120 0.2880 0.5000
Te 0.8398 0.4289 0.9490

Summary:
calculated volume = 44.3 Å³ per atom
formation energy (no corrections) = -0.60 eV/atom

=====

Here is a relaxed structure of Cs2UTe3 from Alexandria. Energies are from GGA-PBE.

abc: 8.9222 8.9222 8.0525
angles: 90.00 90.00 71.24
Fractional positions:
Cs 0.0096 0.6811 0.7500
Cs 0.3189 0.9904 0.7500
Cs 0.6811 0.0096 0.2500
Cs 0.9904 0.3189 0.2500
U 0.4180 0.5820 0.2500
U 0.5820 0.4180 0.7500
Te 0.1412 0.8588 0.2500
Te 0.3558 0.3558 0.0000
Te 0.3558 0.3558 0.5000
Te 0.6442 0.6442 0.0000
Te 0.6442 0.6442 0.5000
Te 0.8588 0.1412 0.7500

Summary:
ΔE to the lowest computed polymorph = 3.0 kJ/mol of atoms
calculated volume = 50.6 Å³ per atom
formation energy (no corrections) = -0.88 eV/atom

=====

Here is a relaxed structure of Cs2UTe3 from Alexandria. Energies are from GGA-PBE.

abc: 8.3781 8.3781 9.3690
angles: 98.84 98.84 119.88
Fractional positions:
Cs 0.0000 0.0000 0.0000
Cs 0.1497 0.8503 0.5000
Cs 0.5000 0.5000 0.5000
Cs 0.8503 0.1497 0.5000
U 0.3318 0.6682 0.0000
U 0.6682 0.3318 0.0000
Te 0.0684 0.4580 0.1968
Te 0.3224 0.3224 0.8091
Te 0.4580 0.0684 0.1968
Te 0.5420 0.9316 0.8032
Te 0.6776 0.6776 0.1909
Te 0.9316 0.5420 0.8032

Summary:
ΔE to the lowest computed polymorph = 0.0 kJ/mol of atoms
calculated volume = 45.2 Å³ per atom
formation energy (no corrections) = -0.92 eV/atom

=====

Here is a relaxed structure of CsU2Te4 from Alexandria. Energies are from GGA-PBE.

abc: 7.8846 7.8846 15.6970
angles: 90.00 90.00 146.68
Fractional positions:
Cs 0.1022 0.8978 0.7500
Cs 0.8978 0.1022 0.2500
U 0.3662 0.6338 0.5621
U 0.3662 0.6338 0.9379
U 0.6338 0.3662 0.0621
U 0.6338 0.3662 0.4379
Te 0.0000 0.0000 0.0000
Te 0.0000 0.0000 0.5000
Te 0.2629 0.7371 0.1074
Te 0.2629 0.7371 0.3926
Te 0.4053 0.5947 0.7500
Te 0.5947 0.4053 0.2500
Te 0.7371 0.2629 0.6074
Te 0.7371 0.2629 0.8926

Summary:
ΔE to the lowest computed polymorph = 0.6 kJ/mol of atoms
calculated volume = 38.3 Å³ per atom
formation energy (no corrections) = -0.73 eV/atom

=====

Here is a relaxed structure of Cs3U2Te7 from Alexandria. Energies are from GGA-PBE.

abc: 15.1181 15.1181 5.9006
angles: 90.00 90.00 157.35
Fractional positions:
Cs 0.0000 0.0000 0.0000
Cs 0.1900 0.8100 0.0000
Cs 0.8100 0.1900 0.0000
U 0.3994 0.6006 0.5000
U 0.6006 0.3994 0.5000
Te 0.0976 0.9024 0.5000
Te 0.3029 0.6971 0.5000
Te 0.4025 0.5975 0.0000
Te 0.5000 0.5000 0.5000
Te 0.5975 0.4025 0.0000
Te 0.6971 0.3029 0.5000
Te 0.9024 0.0976 0.5000

Summary:
calculated volume = 43.3 Å³ per atom
formation energy (no corrections) = -0.79 eV/atom

=====

Here is a relaxed structure of CsUTe2 from Alexandria. Energies are from GGA-PBE.

abc: 9.4882 9.4882 9.4882
angles: 27.61 27.61 27.61
Fractional positions:
Cs 0.0000 0.0000 0.0000
U 0.8309 0.8309 0.8309
Te 0.2288 0.2288 0.2288
Te 0.4336 0.4336 0.4336

Summary:
calculated volume = 40.5 Å³ per atom
formation energy (no corrections) = -0.83 eV/atom

=====

Here is a relaxed structure of Cs3UTe3 from Alexandria. Energies are from GGA-PBE.

abc: 9.1618 9.1618 10.0235
angles: 101.15 101.15 112.67
Fractional positions:
Cs 0.1722 0.8278 0.0000
Cs 0.2950 0.7050 0.5000
Cs 0.3996 0.3996 0.1248
Cs 0.6004 0.6004 0.8752
Cs 0.7050 0.2950 0.5000
Cs 0.8278 0.1722 0.0000
U 0.1010 0.1010 0.6051
U 0.8990 0.8990 0.3949
Te 0.1236 0.4147 0.7799
Te 0.1713 0.1713 0.3379
Te 0.4147 0.1236 0.7799
Te 0.5853 0.8764 0.2201
Te 0.8287 0.8287 0.6621
Te 0.8764 0.5853 0.2201

Summary:
calculated volume = 52.0 Å³ per atom
formation energy (no corrections) = -0.90 eV/atom

=====

Here is a relaxed structure of Cs4Y3UTe8 from Alexandria. Energies are from GGA-PBE.

abc: 9.1527 9.1527 10.3782
angles: 116.21 116.21 59.99
Fractional positions:
Cs 0.0000 0.0000 0.0000
Cs 0.0000 0.5000 0.0000
Cs 0.5000 0.0000 0.0000
Cs 0.5000 0.5000 0.0000
Y 0.0000 0.0000 0.5000
Y 0.0000 0.5000 0.5000
Y 0.5000 0.0000 0.5000
U 0.5000 0.5000 0.5000
Te 0.2266 0.7321 0.6910
Te 0.2299 0.2299 0.6896
Te 0.2680 0.2680 0.3093
Te 0.2679 0.7734 0.3090
Te 0.7321 0.2266 0.6910
Te 0.7320 0.7320 0.6907
Te 0.7701 0.7701 0.3104
Te 0.7734 0.2679 0.3090

Summary:
calculated volume = 40.5 Å³ per atom
formation energy (no corrections) = -1.25 eV/atom

=====

Here is a relaxed structure of Cs3YU2Te6 from Alexandria. Energies are from GGA-PBE.

abc: 7.9040 7.9040 9.3502
angles: 98.10 98.10 120.00
Fractional positions:
Cs 0.0000 0.0000 0.0000
Cs 0.3329 0.6671 0.0000
Cs 0.6671 0.3329 0.0000
Y 0.5000 0.5000 0.5000
U 0.1667 0.8333 0.5000
U 0.8333 0.1667 0.5000
Te 0.1047 0.4361 0.3083
Te 0.2325 0.2325 0.6918
Te 0.4361 0.1047 0.3083
Te 0.5639 0.8953 0.6917
Te 0.7675 0.7675 0.3082
Te 0.8953 0.5639 0.6917

Summary:
calculated volume = 40.4 Å³ per atom
formation energy (no corrections) = -1.02 eV/atom

=====

Here is a relaxed structure of CsUZnTe3 from Alexandria. Energies are from GGA-PBE.

abc: 10.3835 4.4716 10.9863
angles: 90.00 112.49 90.00
Fractional positions:
Cs 0.2160 0.2500 0.2488
Cs 0.7840 0.7500 0.7512
U 0.3314 0.7500 0.8617
U 0.6686 0.2500 0.1383
Zn 0.0895 0.2500 0.6154
Zn 0.9105 0.7500 0.3846
Te 0.1181 0.2500 0.8657
Te 0.1934 0.7500 0.5423
Te 0.4734 0.7500 0.1660
Te 0.5266 0.2500 0.8340
Te 0.8066 0.2500 0.4577
Te 0.8819 0.7500 0.1343

Summary:
calculated volume = 39.3 Å³ per atom
formation energy (no corrections) = -0.71 eV/atom

=====

Here is a relaxed structure of CsUZnTe4 from Alexandria. Energies are from GGA-PBE.

abc: 7.7227 6.3791 10.7962
angles: 90.00 106.49 90.00
Fractional positions:
Cs 0.2268 0.2500 0.0486
Cs 0.7732 0.7500 0.9514
U 0.2650 0.2500 0.5532
U 0.7350 0.7500 0.4468
Zn 0.2765 0.7500 0.3346
Zn 0.7235 0.2500 0.6654
Te 0.0121 0.5075 0.6923
Te 0.0121 0.9925 0.6923
Te 0.4282 0.7500 0.5852
Te 0.4696 0.7500 0.1757
Te 0.5304 0.2500 0.8243
Te 0.5718 0.2500 0.4148
Te 0.9879 0.0075 0.3077
Te 0.9879 0.4925 0.3077

Summary:
calculated volume = 36.4 Å³ per atom
formation energy (no corrections) = -0.66 eV/atom

=====

Here is a relaxed structure of Cs4ZrU3Te8 from Alexandria. Energies are from GGA-PBE.

abc: 10.4017 10.4017 10.4017
angles: 50.93 50.93 50.93
Fractional positions:
Cs 0.0000 0.0000 0.0000
Cs 0.0000 0.5000 0.5000
Cs 0.5000 0.0000 0.5000
Cs 0.5000 0.5000 0.0000
Zr 0.5000 0.5000 0.5000
U 0.0000 0.0000 0.5000
U 0.0000 0.5000 0.0000
U 0.5000 0.0000 0.0000
Te 0.2319 0.2319 0.2319
Te 0.2419 0.7241 0.7241
Te 0.2759 0.2759 0.7581
Te 0.2759 0.7581 0.2759
Te 0.7241 0.2419 0.7241
Te 0.7241 0.7241 0.2419
Te 0.7581 0.2759 0.2759
Te 0.7681 0.7681 0.7681

Summary:
calculated volume = 39.1 Å³ per atom
formation energy (no corrections) = -0.86 eV/atom

=====

Here is a relaxed structure of CsZrUTe5 from Alexandria. Energies are from GGA-PBE.

abc: 6.3343 8.6447 10.5705
angles: 90.00 90.00 90.00
Fractional positions:
Cs 0.2500 0.0000 0.2191
Cs 0.7500 0.0000 0.7809
Zr 0.0000 0.5000 0.0000
Zr 0.5000 0.5000 0.0000
U 0.2500 0.5000 0.6649
U 0.7500 0.5000 0.3351
Te 0.0000 0.2618 0.5000
Te 0.0000 0.7382 0.5000
Te 0.2500 0.2550 0.8790
Te 0.2500 0.5000 0.2319
Te 0.2500 0.7450 0.8790
Te 0.5000 0.2618 0.5000
Te 0.5000 0.7382 0.5000
Te 0.7500 0.2550 0.1210
Te 0.7500 0.5000 0.7681
Te 0.7500 0.7450 0.1210

Summary:
calculated volume = 36.2 Å³ per atom
formation energy (no corrections) = -0.86 eV/atom